# Ac4Nd4Tm3, optimized geometry, DFT PBE
data_Ac4Nd4Tm3
_chemical_formula_sum 'Ac4 Nd4 Tm3'
_cell_length_a 19.1482
_cell_length_b 19.1482
_cell_length_c 3.7001
_cell_angle_alpha 90.97
_cell_angle_beta 90.97
_cell_angle_gamma 17.59
_symmetry_space_group_name_H-M 'P 1'
_symmetry_Int_Tables_number 1
_symmetry_space_group_name_Hall 'P 1'
loop_
_atom_site_label
_atom_site_fract_x
_atom_site_fract_y
_atom_site_fract_z
_atom_site_occupancy
Ac1 0.0914 0.0914 0.2228 1
Ac2 0.2794 0.2794 0.7549 1
Ac3 0.7206 0.7206 0.2451 1
Ac4 0.9086 0.9086 0.7772 1
Nd1 0.1793 0.1793 0.7417 1
Nd2 0.4593 0.4593 0.2256 1
Nd3 0.5407 0.5407 0.7744 1
Nd4 0.8207 0.8207 0.2583 1
Tm1 0.0000 0.0000 0.5000 1
Tm2 0.3666 0.3666 0.2706 1
Tm3 0.6334 0.6334 0.7294 1
# total moment = 0.00 μB per formula unit
# SG = No. 12
# calculated formation energy = 74 meV/atom
# final energy = -4.3731 eV per atom

# CoPbAu2, optimized geometry, DFT PBE
data_CoPbAu2
_chemical_formula_sum 'Co1 Pb1 Au2'
_cell_length_a 4.3869
_cell_length_b 4.3869
_cell_length_c 5.5904
_cell_angle_alpha 113.29
_cell_angle_beta 113.29
_cell_angle_gamma 59.58
_symmetry_space_group_name_H-M 'P 1'
_symmetry_Int_Tables_number 1
_symmetry_space_group_name_Hall 'P 1'
loop_
_atom_site_label
_atom_site_fract_x
_atom_site_fract_y
_atom_site_fract_z
_atom_site_occupancy
Co1 0.0000 0.0000 0.0000 1
Pb1 0.1838 0.1838 0.5442 1
Au1 0.3943 0.3943 0.1837 1
Au2 0.6260 0.6260 0.8762 1
# total moment = 1.60 μB per formula unit
# SG = No. 8
# calculated formation energy = 272 meV/atom
# final energy = -4.0703 eV per atom

# Y2TaTcSe, optimized geometry, DFT PBE
data_Y2TaTcSe
_chemical_formula_sum 'Y2 Ta1 Tc1 Se1'
_cell_length_a 5.2291
_cell_length_b 5.2291
_cell_length_c 4.7263
_cell_angle_alpha 90.00
_cell_angle_beta 90.00
_cell_angle_gamma 90.00
_symmetry_space_group_name_H-M 'P 1'
_symmetry_Int_Tables_number 1
_symmetry_space_group_name_Hall 'P 1'
loop_
_atom_site_label
_atom_site_fract_x
_atom_site_fract_y
_atom_site_fract_z
_atom_site_occupancy
Y1 0.0000 0.5000 0.0000 1
Y2 0.5000 0.0000 0.0000 1
Ta1 0.0000 0.0000 0.5000 1
Tc1 0.5000 0.5000 0.5000 1
Se1 0.0000 0.0000 0.0000 1
# total moment = 1.52 μB per formula unit
# SG = No. 123
# final energy = -7.2135 eV per atom

# NaTb5S6, optimized geometry, DFT PBE
data_NaTb5S6
_chemical_formula_sum 'Na1 Tb5 S6'
_cell_length_a 6.8097
_cell_length_b 6.8097
_cell_length_c 6.8316
_cell_angle_alpha 99.58
_cell_angle_beta 99.58
_cell_angle_gamma 119.95
_symmetry_space_group_name_H-M 'P 1'
_symmetry_Int_Tables_number 1
_symmetry_space_group_name_Hall 'P 1'
loop_
_atom_site_label
_atom_site_fract_x
_atom_site_fract_y
_atom_site_fract_z
_atom_site_occupancy
Na1 0.0000 0.0000 0.0000 1
Tb1 0.1632 0.8368 0.5000 1
Tb2 0.3345 0.6655 0.0000 1
Tb3 0.5000 0.5000 0.5000 1
Tb4 0.6655 0.3345 0.0000 1
Tb5 0.8368 0.1632 0.5000 1
S1 0.0835 0.4181 0.2521 1
S2 0.2501 0.2501 0.7535 1
S3 0.4181 0.0835 0.2521 1
S4 0.5819 0.9165 0.7479 1
S5 0.7499 0.7499 0.2465 1
S6 0.9165 0.5819 0.7479 1
# total moment = 0.00 μB per formula unit
# SG = No. 12
# final energy = -6.0601 eV per atom